(1)
SnAsHOsBr: relaxed, PBE.

The distance to the lowest polymorph of the same formula is 137 meV per atom.

The space group is Cm (No. 8) and the conventional cell measures 9.788, 3.170 and 6.532 Å, with angles of 90.00, 96.55 and 90.00 degrees. The distinct sites, in fractional coordinates, are Sn at (0.000, 0.000, 0.000), As at (0.236, 0.000, 0.658), H at (0.273, 0.000, 0.093), Os at (0.222, 0.500, 0.947) and Br at (0.493, 0.500, 0.440).

---

(2)
LiMn5Pd6: relaxed, PBE.

The total energy comes out at -0.501 Ry per atom.

The space group is C2/m (No. 12) and the conventional cell measures 7.546, 13.243 and 4.421 Å, with angles of 90.00, 125.73 and 90.00 degrees. The distinct sites, in fractional coordinates, are Li at (0.000, 0.000, 0.000), Mn at (0.000, 0.167, 0.500), Mn at (0.000, 0.334, 0.000), Mn at (0.000, 0.500, 0.500), Pd at (0.248, 0.000, 0.748) and Pd at (0.249, 0.167, 0.249).

---

(3)
MoIrRh2: relaxed, PBE.

The distance to the lowest polymorph of the same formula is 110 meV per atom.

The space group is I4/mmm (No. 139) and the conventional cell measures 3.868, 3.868 and 7.794 Å, with angles of 90.00, 90.00 and 90.00 degrees. The distinct sites, in fractional coordinates, are Mo at (0.000, 0.000, 0.000), Ir at (0.000, 0.000, 0.500) and Rh at (0.000, 0.500, 0.250).

---

(4)
Sr2TcPb: relaxed, PBE.

The total energy comes out at -0.287 Ry per atom.

The space group is Immm (No. 71) and the conventional cell measures 4.963, 4.990 and 9.482 Å, with angles of 90.00, 90.00 and 90.00 degrees. The distinct sites, in fractional coordinates, are Sr at (0.000, 0.000, 0.249), Tc at (0.000, 0.500, 0.500) and Pb at (0.000, 0.500, 0.000).

---

(5)
CdTc2NiN: relaxed, PBE.

Its formation energy without anion corrections is 0.165 eV per atom.

The space group is P4/mmm (No. 123) and the conventional cell measures 4.072, 4.072 and 4.008 Å, with angles of 90.00, 90.00 and 90.00 degrees. The distinct sites, in fractional coordinates, are Cd at (0.000, 0.000, 0.000), Tc at (0.000, 0.500, 0.500), Ni at (0.500, 0.500, 0.000) and N at (0.500, 0.500, 0.500).

---

(6)
Ho2InAu2: relaxed, PBE.

The total energy comes out at -0.331 Ry per atom.

The space group is P4/mbm (No. 127) and the conventional cell measures 7.896, 7.896 and 3.768 Å, with angles of 90.00, 90.00 and 90.00 degrees. The distinct sites, in fractional coordinates, are Ho at (0.169, 0.331, 0.000), In at (0.000, 0.000, 0.500) and Au at (0.130, 0.630, 0.500).

---

(7)
Zn2AgIr: relaxed, PBE.

The total energy comes out at -0.271 Ry per atom.

The space group is P4/mmm (No. 123) and the conventional cell measures 3.033, 3.033 and 6.549 Å, with angles of 90.00, 90.00 and 90.00 degrees. The distinct sites, in fractional coordinates, are Zn at (0.000, 0.000, 0.229), Ag at (0.500, 0.500, 0.500) and Ir at (0.500, 0.500, 0.000).

---

(8)
CaBrCl2: relaxed, PBE.

The distance to the lowest polymorph of the same formula is 203 meV per atom. Its formation energy without anion corrections is -1.433 eV per atom.

The space group is Cmmm (No. 65) and the conventional cell measures 4.781, 4.793 and 11.080 Å, with angles of 90.00, 90.00 and 90.00 degrees. The distinct sites, in fractional coordinates, are Ca at (0.000, 0.000, 0.000), Br at (0.000, 0.000, 0.500) and Cl at (0.000, 0.500, 0.142).

---

(9)
Ac2La2Tb5: relaxed, PBE.

The total energy comes out at -0.317 Ry per atom.

The space group is C2/m (No. 12) and the conventional cell measures 22.501, 3.634 and 8.372 Å, with angles of 90.00, 97.05 and 90.00 degrees. The distinct sites, in fractional coordinates, are Ac at (0.051, 0.000, 0.345), La at (0.188, 0.500, 0.147), Tb at (0.000, 0.500, 0.000), Tb at (0.101, 0.500, 0.746) and Tb at (0.192, 0.000, 0.533).

---

(10)
TbPm4In2: relaxed, PBE.

The distance to the lowest polymorph of the same formula is 0 meV per atom.

The space group is Fmmm (No. 69) and the conventional cell measures 6.911, 10.114 and 12.680 Å, with angles of 90.00, 90.00 and 90.00 degrees. The distinct sites, in fractional coordinates, are Tb at (0.000, 0.000, 0.000), Pm at (0.250, 0.250, 0.000), Pm at (0.250, 0.250, 0.250) and In at (0.000, 0.000, 0.376).

---

(11)
Cr2CuTc: relaxed, PBE.

The total energy comes out at -0.603 Ry per atom.

The space group is Pm (No. 6) and the conventional cell measures 2.495, 4.109 and 5.007 Å, with angles of 90.00, 101.92 and 90.00 degrees. The distinct sites, in fractional coordinates, are Cr at (0.000, 0.000, 0.000), Cr at (0.209, 0.500, 0.769), Cu at (0.801, 0.500, 0.251) and Tc at (0.461, 0.000, 0.504).

---

(12)
Th4TlIn15: relaxed, PBE.

The total energy comes out at -0.287 Ry per atom.

The space group is P4/mmm (No. 123) and the conventional cell measures 4.735, 4.735 and 24.028 Å, with angles of 90.00, 90.00 and 90.00 degrees. The distinct sites, in fractional coordinates, are Th at (0.000, 0.000, 0.099), Th at (0.000, 0.000, 0.295), Tl at (0.000, 0.000, 0.500), In at (0.000, 0.500, 0.000), In at (0.000, 0.500, 0.198), In at (0.000, 0.500, 0.396), In at (0.500, 0.500, 0.099), In at (0.500, 0.500, 0.296) and In at (0.500, 0.500, 0.500).

---

(13)
NdGeAu3: relaxed, PBE.

The distance to the lowest polymorph of the same formula is 0 meV per atom.

The space group is Cm (No. 8) and the conventional cell measures 7.782, 6.582 and 5.097 Å, with angles of 90.00, 125.52 and 90.00 degrees. The distinct sites, in fractional coordinates, are Nd at (0.000, 0.000, 0.000), Ge at (0.309, 0.000, 0.755), Au at (0.022, 0.289, 0.533) and Au at (0.193, 0.500, 0.213).

---

(14)
Zr2CdHg: relaxed, PBE.

The distance to the lowest polymorph of the same formula is 113 meV per atom.

The space group is I-4m2 (No. 119) and the conventional cell measures 4.297, 4.297 and 9.457 Å, with angles of 90.00, 90.00 and 90.00 degrees. The distinct sites, in fractional coordinates, are Zr at (0.000, 0.000, 0.000), Zr at (0.000, 0.500, 0.250), Cd at (0.000, 0.500, 0.750) and Hg at (0.000, 0.000, 0.500).

---

(15)
Pr2ZnAs: relaxed, PBE.

The distance to the lowest polymorph of the same formula is 0 meV per atom.

The space group is P4/mmm (No. 123) and the conventional cell measures 3.846, 3.846 and 6.876 Å, with angles of 90.00, 90.00 and 90.00 degrees. The distinct sites, in fractional coordinates, are Pr at (0.000, 0.000, 0.241), Zn at (0.500, 0.500, 0.500) and As at (0.500, 0.500, 0.000).